[1]
DFT (GGA+U) results for a relaxed CrInSeF2 crystal.

Calculated values
Final energy ... -5.122 eV/atom
M_tot ... 3.91 μB per formula unit

a = 4.056 Å, b = 4.056 Å, c = 5.883 Å
α = 90.00°, β = 90.00°, γ = 90.00°
Positions (direct):
1 Cr 0.000 0.000 0.000
2 In 0.500 0.500 0.500
3 Se 0.000 0.000 0.500
4 F 0.000 0.500 0.000
5 F 0.500 0.000 0.000

[2]
DFT (GGA+U) results for a relaxed Sr2CrInF crystal.

Calculated values
Final energy ... -3.378 eV/atom
M_tot ... 4.50 μB per formula unit

a = 6.215 Å, b = 6.215 Å, c = 5.061 Å
α = 90.00°, β = 90.00°, γ = 90.00°
Positions (direct):
1 Sr 0.000 0.500 0.000
2 Sr 0.500 0.000 0.000
3 Cr 0.000 0.000 0.000
4 In 0.000 0.000 0.500
5 F 0.500 0.500 0.500

[3]
DFT (GGA+U) results for a relaxed SrCrIn2F8 crystal.

Calculated values
Final energy ... -5.186 eV/atom
M_tot ... 4.00 μB per formula unit

a = 5.487 Å, b = 5.620 Å, c = 6.439 Å
α = 91.71°, β = 91.25°, γ = 94.22°
Positions (direct):
1 Sr 0.000 0.000 0.000
2 Cr 0.000 0.000 0.500
3 In 0.458 0.544 0.716
4 In 0.542 0.456 0.284
5 F 0.139 0.761 0.683
6 F 0.151 0.244 0.716
7 F 0.321 0.621 0.040
8 F 0.328 0.115 0.248
9 F 0.672 0.885 0.752
10 F 0.679 0.379 0.960
11 F 0.849 0.756 0.284
12 F 0.861 0.239 0.317

> Which value of M_tot does entry 3 give?

4.00 μB per formula unit

> The highest final energy belongs to which entry?

Sr2CrInF